# 1
Entry from Alexandria: a relaxed structure of CdSe2 (PBE).

Results
For the final energy, the calculation gives -7.42 eV per cell. The raw formation energy is 45 kJ/mol of formula units. The calculation puts the density of states at the Fermi level at 1.93 states/eV/cell. The size of the total moment is 0.000 μB per atom. The value obtained for the density is 5.6 g cm⁻³.

Cell: 5.416 5.416 2.743 Å, 90.00 90.00 90.00°
Space group P4/mmm (No. 123)
Unique sites:
Cd  0.000  0.000  0.000 x1
Se  0.000  0.500  0.500 x2

---

# 2
Entry from Alexandria: a relaxed structure of Zn2In2Hg (PBE).

Results
For the final energy, the calculation gives -15.55 eV per cell. The calculation puts the density of states at the Fermi level at 5.82 states/eV/cell. The value obtained for the energy relative to the elements is 110 meV per atom. The size of the total moment is 0.000 μB per atom. The value obtained for the density is 7.9 g cm⁻³. The value obtained for the polymorph energy (0 for the lowest one) is 4.14 kJ/mol of atoms.

Cell: 3.594 3.594 18.161 Å, 90.00 90.00 90.00°
Space group I4/mmm (No. 139)
Unique sites:
Zn  0.000  0.500  0.250 x4
In  0.000  0.000  0.112 x4
Hg  0.000  0.000  0.500 x2

---

# 3
Entry from Alexandria: a relaxed structure of NdZrAgRh (PBE).

Results
For the final energy, the calculation gives -98.65 eV per cell. The calculation puts the density of states at the Fermi level at 14.56 states/eV/cell. The value obtained for the energy relative to the elements is -286 meV per atom. The size of the total moment is 0.000 μB per atom. The value obtained for the density is 8.6 g cm⁻³.

Cell: 7.009 7.009 7.009 Å, 90.00 90.00 90.00°
Space group F-43m (No. 216)
Unique sites:
Nd  0.000  0.000  0.000 x4
Zr  0.000  0.000  0.500 x4
Ag  0.250  0.250  0.250 x4
Rh  0.250  0.250  0.750 x4

---

# 4
Entry from Alexandria: a relaxed structure of B (PBE).

Results
For the final energy, the calculation gives -220.42 eV per cell. The calculation puts the density of states at the Fermi level at 9.51 states/eV/cell. The value obtained for the energy relative to the elements is 555 meV per atom. The size of the total moment is 0.000 μB per atom. The value obtained for the density is 2.2 g cm⁻³. The value obtained for the polymorph energy (0 for the lowest one) is 53.52 kJ/mol of atoms.

Cell: 4.6835 4.6835 15.5276 Å, 90.00 90.00 120.00°
Space group R-3m (No. 166, hexagonal axes)
Unique sites:
B  0.0833  0.5416  0.4497 x18
B  0.0864  0.5432  0.0535 x18

---

# 5
Entry from Alexandria: a relaxed structure of ZrZnOs3 (PBE).

Results
For the final energy, the calculation gives -37.05 eV per cell. The calculation puts the density of states at the Fermi level at 5.87 states/eV/cell. The value obtained for the energy relative to the elements is 1292 meV per atom. The size of the total moment is 0.000 μB per atom. The value obtained for the density is 13.4 g cm⁻³. The value obtained for the polymorph energy (0 for the lowest one) is 0.00 kJ/mol of atoms.

Cell: 4.478 4.478 4.478 Å, 90.00 90.00 90.00°
Space group Pm-3m (No. 221)
Unique sites:
Zr  0.000  0.000  0.000 x1
Zn  0.500  0.500  0.500 x1
Os  0.000  0.500  0.500 x3

---

# 6
Entry from Alexandria: a relaxed structure of PmY2H8 (PBE).

Results
For the final energy, the calculation gives -102.58 eV per cell. The calculation puts the density of states at the Fermi level at 2.17 states/eV/cell. The size of the total moment is 0.000 μB per atom. The value obtained for the density is 5.1 g cm⁻³.

Cell: 3.684 5.245 11.063 Å, 90.00 90.00 90.00°
Space group Immm (No. 71)
Unique sites:
Pm  0.000  0.000  0.000 x2
Y  0.000  0.000  0.331 x4
H  0.000  0.219  0.500 x4
H  0.000  0.265  0.164 x8
H  0.000  0.500  0.344 x4

---

# 7
Entry from Alexandria: a relaxed structure of RbAl2Pt (PBE).

Results
For the final energy, the calculation gives -62.22 eV per cell. The calculation puts the density of states at the Fermi level at 9.21 states/eV/cell. The value obtained for the energy relative to the elements is -266 meV per atom. The size of the total moment is 0.000 μB per atom. The value obtained for the density is 4.0 g cm⁻³. The value obtained for the polymorph energy (0 for the lowest one) is 0.00 kJ/mol of atoms.

Cell: 6.296 6.296 13.989 Å, 90.00 90.00 90.00°
Space group I4_1/amd (No. 141, origin choice 2)
Unique sites:
Rb  0.000  0.250  0.375 x4
Al  0.000  0.000  0.000 x8
Pt  0.000  0.250  0.875 x4

---

# 8
Entry from Alexandria: a relaxed structure of SrLiPuS3 (PBE).

Results
For the final energy, the calculation gives -81.18 eV per cell. The raw formation energy is -992 kJ/mol of formula units. The calculation puts the density of states at the Fermi level at 19.20 states/eV/cell. The size of the total moment is 0.833 μB per atom. The value obtained for the density is 5.1 g cm⁻³.

Cell: 8.370 4.037 8.635 Å, 90.00 102.46 90.00°
Space group P2_1/m (No. 11)
Unique sites:
Sr  0.185  0.250  0.232 x2
Li  0.086  0.250  0.586 x2
Pu  0.332  0.750  0.835 x2
S  0.112  0.250  0.866 x2
S  0.207  0.750  0.509 x2
S  0.439  0.750  0.162 x2

---

# 9
Entry from Alexandria: a relaxed structure of SrMgRhO6 (PBE).

Results
For the final energy, the calculation gives -103.22 eV per cell. The raw formation energy is -1084 kJ/mol of formula units. The calculation puts the density of states at the Fermi level at 10.26 states/eV/cell. The size of the total moment is 0.000 μB per atom. The value obtained for the density is 4.0 g cm⁻³.

Cell: 5.265 9.154 5.412 Å, 90.00 90.15 90.00°
Space group C2 (No. 5)
Unique sites:
Sr  0.000  0.000  0.000 x2
Mg  0.000  0.334  0.500 x2
Rh  0.000  0.666  0.500 x2
O  0.133  0.511  0.300 x4
O  0.167  0.811  0.299 x4
O  0.200  0.179  0.299 x4

---

# 10
Entry from Alexandria: a relaxed structure of ReHPd (PBE).

Results
For the final energy, the calculation gives -81.65 eV per cell. The calculation puts the density of states at the Fermi level at 5.82 states/eV/cell. The size of the total moment is 0.000 μB per atom. The value obtained for the density is 14.7 g cm⁻³. The value obtained for the polymorph energy (0 for the lowest one) is 0.00 kJ/mol of atoms.

Cell: 8.862 2.817 6.719 Å, 90.00 127.70 90.00°
Space group Cm (No. 8)
Unique sites:
Re  0.000  0.000  0.000 x2
Re  0.180  0.000  0.750 x2
H  0.110  0.500  0.955 x2
H  0.493  0.000  0.587 x2
Pd  0.274  0.500  0.488 x2
Pd  0.401  0.000  0.254 x2

---

# 11
Entry from Alexandria: a relaxed structure of Ce3PmRu (PBE).

Results
For the final energy, the calculation gives -63.94 eV per cell. The calculation puts the density of states at the Fermi level at 23.55 states/eV/cell. The value obtained for the energy relative to the elements is -28 meV per atom. The size of the total moment is 0.146 μB per atom. The value obtained for the density is 7.7 g cm⁻³. The value obtained for the polymorph energy (0 for the lowest one) is 0.00 kJ/mol of atoms.

Cell: 6.416 6.147 7.266 Å, 90.00 90.98 90.00°
Space group P2_1 (No. 4)
Unique sites:
Ce  0.103  0.000  0.198 x2
Ce  0.289  0.519  0.979 x2
Ce  0.311  0.523  0.505 x2
Pm  0.175  0.012  0.710 x2
Ru  0.433  0.259  0.263 x2

---

# 12
Entry from Alexandria: a relaxed structure of PmCuH4Pd2 (PBE).

Results
For the final energy, the calculation gives -70.70 eV per cell. The calculation puts the density of states at the Fermi level at 3.57 states/eV/cell. The size of the total moment is 0.000 μB per atom. The value obtained for the density is 8.2 g cm⁻³.

Cell: 5.054 5.211 6.529 Å, 90.00 90.00 90.00°
Space group I222 (No. 23)
Unique sites:
Pm  0.000  0.000  0.000 x2
Cu  0.000  0.000  0.500 x2
H  0.184  0.183  0.684 x8
Pd  0.000  0.500  0.236 x4